A plane-wave DFT calculation with PBE was carried out for a relaxed structure of V2TcB2.

Lattice parameters (Å, degrees): 3.9594 3.9594 4.6157 64.60 64.60 90.00
Closest atoms and distances in Å follow each position.
Element x y z (fractional)
1 Tc 0.0000 0.0000 0.0000  2 V 2.42, 8 B 2.70
2 V 0.3297 0.3297 0.3407  4 B 2.06
3 B 0.2500 0.7500 0.5000  4 V 2.06
4 V 0.6703 0.6703 0.6593  4 B 2.06
5 B 0.7500 0.2500 0.5000  4 V 2.06

## Properties
total moment: 0.45 μB/f.u.
formation energy from the elements: 1.4 eV per formula unit
uncorrected energy: -40.53 eV/cell
SG: No. 139


A plane-wave DFT calculation with PBE was carried out for a relaxed structure of TaTiVGa.

Lattice parameters (Å, degrees): 4.4704 4.4704 4.4704 60.00 60.00 60.00
Closest atoms and distances in Å follow each position.
Element x y z (fractional)
1 Ga 0.0000 0.0000 0.0000  4 Ti 2.74, 4 V 2.74
2 V 0.7500 0.7500 0.7500  4 Ta 2.74, 4 Ga 2.74
3 Ta 0.5000 0.5000 0.5000  4 V 2.74, 4 Ti 2.74
4 Ti 0.2500 0.2500 0.2500  4 Ta 2.74, 4 Ga 2.74

## Properties
total moment: 0.89 μB/f.u.
formation energy from the elements: -0.6 eV per formula unit
uncorrected energy: -32.48 eV/cell
SG: No. 216


A plane-wave DFT calculation with PBE was carried out for a relaxed structure of In2IrRh2.

Lattice parameters (Å, degrees): 6.7720 6.7720 3.8790 90.00 90.00 90.00
Closest atoms and distances in Å follow each position.
Element x y z (fractional)
1 In 0.1728 0.6728 0.5000  6 Rh 2.69-2.85
2 Rh 0.8676 0.6324 0.0000  1 Rh 2.54, 2 Ir 2.65, 2 In 2.69
3 Rh 0.1324 0.3676 0.0000  1 Rh 2.54, 2 Ir 2.65, 2 In 2.69
4 In 0.8272 0.3272 0.5000  6 Rh 2.69-2.85
5 Rh 0.3676 0.8676 0.0000  1 Rh 2.54, 2 Ir 2.65, 2 In 2.69
6 Ir 0.5000 0.5000 0.0000  4 Rh 2.65
7 In 0.6728 0.8272 0.5000  6 Rh 2.69-2.85
8 In 0.3272 0.1728 0.5000  6 Rh 2.69-2.85
9 Rh 0.6324 0.1324 0.0000  1 Rh 2.54, 2 Ir 2.65, 2 In 2.69
10 Ir 0.0000 0.0000 0.0000  4 Rh 2.65

## Properties
total moment: 0.00 μB/f.u.
formation energy from the elements: 0.1 eV per formula unit
uncorrected energy: -57.86 eV/cell
SG: No. 127


A plane-wave DFT calculation with PBE was carried out for a relaxed structure of SrFe2SbMo.

Lattice parameters (Å, degrees): 4.8580 5.1075 4.8580 90.00 90.00 90.00
Closest atoms and distances in Å follow each position.
Element x y z (fractional)
1 Sb 0.0000 0.0000 0.0000  4 Fe 2.43, 2 Mo 2.55
2 Fe 0.5000 0.0000 0.0000  2 Sb 2.43
3 Fe 0.0000 0.0000 0.5000  2 Sb 2.43
4 Mo 0.0000 0.5000 0.0000  2 Sb 2.55
5 Sr 0.5000 0.5000 0.5000  4 Mo 3.44, 8 Fe 3.52

## Properties
total moment: 5.03 μB/f.u.
E_form (uncorrected): 1.0562 eV/atom
uncorrected energy: -28.28 eV/cell
SG: No. 123


A plane-wave DFT calculation with PBE was carried out for a relaxed structure of Hf8As2P3.

Lattice parameters (Å, degrees): 6.2701 7.1782 7.2913 119.49 103.39 90.00
Closest atoms and distances in Å follow each position.
Element x y z (fractional)
1 Hf 0.6044 0.6245 0.7762  2 P 2.52-2.55, 2 As 2.67-2.69
2 P 0.0000 0.2312 0.0000  6 Hf 2.52-2.53
3 P 0.0000 0.7688 0.0000  6 Hf 2.52-2.53
4 P 0.5000 0.0000 0.0000  6 Hf 2.55-2.62
5 Hf 0.9015 0.1296 0.2592  3 P 2.53-2.62, 1 As 2.74
6 As 0.6653 0.7505 0.5010  6 Hf 2.63-2.74
7 Hf 0.3956 0.8483 0.2238  2 P 2.52-2.55, 2 As 2.67-2.69
8 As 0.3347 0.2495 0.4990  6 Hf 2.63-2.74
9 Hf 0.8871 0.6014 0.2028  2 P 2.52, 1 As 2.63
10 Hf 0.3956 0.3755 0.2238  2 P 2.52-2.55, 2 As 2.67-2.69
11 Hf 0.0985 0.8704 0.7408  3 P 2.53-2.62, 1 As 2.74
12 Hf 0.6044 0.1517 0.7762  2 P 2.52-2.55, 2 As 2.67-2.69
13 Hf 0.1129 0.3986 0.7972  2 P 2.52, 1 As 2.63

## Properties
total moment: 0.00 μB/f.u.
formation energy from the elements: -8.7 eV per formula unit
uncorrected energy: -113.85 eV/cell
SG: No. 12


A plane-wave DFT calculation with PBE was carried out for a relaxed structure of InAg2Se3.

Lattice parameters (Å, degrees): 7.4527 7.4527 13.5916 100.50 100.50 109.60
Closest atoms and distances in Å follow each position.
Element x y z (fractional)
1 Se 0.7912 0.7080 0.5012  3 Ag 2.61-2.62, 1 In 2.63
2 Ag 0.7568 0.9181 0.6672  4 Se 2.60-2.69
3 Se 0.7129 0.1346 0.3348  3 Ag 2.60-2.61, 1 In 2.63
4 In 0.2390 0.4053 0.6649  4 Se 2.63-2.66
5 In 0.5947 0.7610 0.3351  4 Se 2.63-2.66
6 Se 0.5432 0.9600 0.0012  3 Ag 2.61-2.62, 1 In 2.63
7 Se 0.0400 0.4568 0.9988  3 Ag 2.61-2.62, 1 In 2.63
8 Se 0.1281 0.0499 0.1652  3 Ag 2.60-2.61, 1 In 2.63
9 Ag 0.1630 0.8370 0.5000  4 Se 2.62-2.68
10 In 0.3242 0.9904 0.8351  4 Se 2.63-2.66
11 Se 0.8654 0.2871 0.6652  3 Ag 2.60-2.61, 1 In 2.63
12 Se 0.3737 0.7858 0.6673  2 In 2.66, 2 Ag 2.68-2.69
13 Se 0.2920 0.2088 0.4988  3 Ag 2.61-2.62, 1 In 2.63
14 Ag 0.4130 0.5870 0.0000  4 Se 2.62-2.68
15 Ag 0.9153 0.0847 0.0000  4 Se 2.61-2.62
16 Se 0.4564 0.3685 0.8327  2 In 2.66, 2 Ag 2.68-2.69
17 Se 0.2142 0.6263 0.3327  2 In 2.66, 2 Ag 2.68-2.69
18 Ag 0.6653 0.3347 0.5000  4 Se 2.61-2.62
19 Se 0.9501 0.8719 0.8348  3 Ag 2.60-2.61, 1 In 2.63
20 Ag 0.0819 0.2432 0.3328  4 Se 2.60-2.69
21 Ag 0.4990 0.1604 0.1672  4 Se 2.60-2.69
22 Ag 0.8396 0.5010 0.8328  4 Se 2.60-2.69
23 Se 0.6315 0.5436 0.1673  2 In 2.66, 2 Ag 2.68-2.69
24 In 0.0096 0.6758 0.1649  4 Se 2.63-2.66

## Properties
total moment: 0.00 μB/f.u.
E_form (uncorrected): -0.2567 eV/atom
uncorrected energy: -81.74 eV/cell
SG: No. 43


A plane-wave DFT calculation with PBE was carried out for a relaxed structure of MgTlAsBr2.

Lattice parameters (Å, degrees): 5.4487 5.4487 5.3092 90.00 90.00 90.00
Closest atoms and distances in Å follow each position.
Element x y z (fractional)
1 Tl 0.5000 0.5000 0.5000  8 Br 3.80, 4 As 3.85
2 Mg 0.0000 0.0000 0.0000  2 As 2.65, 4 Br 2.72
3 As 0.0000 0.0000 0.5000  2 Mg 2.65
4 Br 0.0000 0.5000 0.0000  2 Mg 2.72
5 Br 0.5000 0.0000 0.0000  2 Mg 2.72

## Properties
total moment: 1.97 μB/f.u.
E_form (uncorrected): -0.4478 eV/atom
uncorrected energy: -14.20 eV/cell
SG: No. 123


A plane-wave DFT calculation with PBE was carried out for a relaxed structure of NaTi2B.

Lattice parameters (Å, degrees): 6.9999 6.9999 5.6682 51.87 51.87 90.00
Closest atoms and distances in Å follow each position.
Element x y z (fractional)
1 Ti 0.5393 0.1250 0.2500  2 B 2.20
2 B 0.2500 0.7500 0.5000  4 Ti 2.20
3 Ti 0.8750 0.7893 0.7500  2 B 2.20
4 Ti 0.3750 0.4607 0.7500  2 B 2.20
5 Ti 0.2107 0.6250 0.2500  2 B 2.20
6 B 0.5000 0.5000 0.0000  4 Ti 2.20
7 Na 0.7500 0.2500 0.5000  2 B 2.76, 8 Ti 2.95-3.01
8 Na 0.0000 0.0000 0.0000  2 B 2.76, 8 Ti 2.95-3.01

## Properties
total moment: 0.00 μB/f.u.
formation energy from the elements: 2.4 eV per formula unit
uncorrected energy: -42.85 eV/cell
SG: No. 122


no.,N(E_F) (states/eV per atom)
1,0.623
2,0.777
3,1.156
4,2.132
5,0.629
6,0.575
7,0.240
8,0.602